(1)
Computed, not measured: a geometry-optimized Sc2Tc3Au structure at the GGA-PBE level of DFT.

```
6
Lattice="3.251 0.000 0.000 0.000 3.251 0.000 0.000 0.000 9.431" Properties=species:S:1:pos:R:3 pbc="T T T"
Sc 0.000 0.000 0.000
Sc 1.625 1.625 4.696
Tc 0.000 0.000 3.292
Tc 0.000 0.000 6.370
Tc 1.625 1.625 7.726
Au 1.625 1.625 1.630
```

* calculated formation energy: -0.106 eV/atom

(2)
Computed, not measured: a geometry-optimized Sc2TcAu3 structure at the GGA-PBE level of DFT.

```
6
Lattice="3.463 0.000 0.000 0.000 3.463 0.000 0.000 0.000 8.921" Properties=species:S:1:pos:R:3 pbc="T T T"
Sc 0.000 0.000 0.000
Sc 1.732 1.732 4.380
Tc 0.000 0.000 2.876
Au 0.000 0.000 5.867
Au 1.732 1.732 1.525
Au 1.732 1.732 7.464
```

* calculated formation energy: -0.415 eV/atom

(3)
Computed, not measured: a geometry-optimized Sc2TcAu structure at the GGA-PBE level of DFT.

```
8
Lattice="4.658 0.000 0.000 0.000 4.658 0.000 0.000 0.000 6.546" Properties=species:S:1:pos:R:3 pbc="T T T"
Sc 0.000 2.329 1.637
Sc 0.000 2.329 4.910
Sc 2.329 0.000 1.637
Sc 2.329 0.000 4.910
Tc 0.000 0.000 0.000
Tc 2.329 2.329 3.273
Au 0.000 0.000 3.273
Au 2.329 2.329 0.000
```

* calculated formation energy: -0.505 eV/atom
* distance to the lowest polymorph of the same formula: 57 meV per atom

(4)
Computed, not measured: a geometry-optimized ScTcAu structure at the GGA-PBE level of DFT.

```
6
Lattice="3.469 0.000 0.000 0.000 3.469 0.000 0.000 0.000 8.804" Properties=species:S:1:pos:R:3 pbc="T T T"
Sc 0.000 0.000 0.000
Sc 1.735 1.735 4.402
Tc 0.000 0.000 3.194
Tc 0.000 0.000 5.609
Au 1.735 1.735 1.508
Au 1.735 1.735 7.295
```

* calculated formation energy: -0.158 eV/atom
* distance to the lowest polymorph of the same formula: 240 meV per atom

(5)
Computed, not measured: a geometry-optimized ScTc2Au structure at the GGA-PBE level of DFT.

```
16
Lattice="6.401 0.000 0.000 0.000 6.401 0.000 0.000 0.000 6.401" Properties=species:S:1:pos:R:3 pbc="T T T"
Sc 0.000 0.000 0.000
Sc 0.000 3.201 3.201
Sc 3.201 0.000 3.201
Sc 3.201 3.201 0.000
Tc 0.000 0.000 3.201
Tc 0.000 3.201 0.000
Tc 1.600 1.600 4.801
Tc 1.600 4.801 1.600
Tc 3.201 0.000 0.000
Tc 3.201 3.201 3.201
Tc 4.801 1.600 1.600
Tc 4.801 4.801 4.801
Au 1.600 1.600 1.600
Au 1.600 4.801 4.801
Au 4.801 1.600 4.801
Au 4.801 4.801 1.600
```

* calculated formation energy: -0.040 eV/atom

(6)
Computed, not measured: a geometry-optimized Sc2Te3Au structure at the GGA-PBE level of DFT.

```
24
Lattice="10.549 0.000 0.000 0.000 3.926 0.000 0.000 0.000 14.268" Properties=species:S:1:pos:R:3 pbc="T T T"
Sc 0.133 0.981 3.533
Sc 2.451 2.944 7.688
Sc 2.823 0.981 0.554
Sc 5.141 2.944 10.667
Sc 5.408 0.981 3.601
Sc 7.726 2.944 13.715
Sc 8.098 0.981 6.580
Sc 10.415 2.944 10.735
Te 0.360 0.981 8.562
Te 0.701 2.944 1.380
Te 2.487 2.944 12.419
Te 2.787 0.981 5.285
Te 4.573 0.981 8.514
Te 4.914 2.944 1.428
Te 5.635 0.981 12.841
Te 5.976 2.944 5.755
Te 7.761 2.944 8.983
Te 8.062 0.981 1.849
Te 9.847 0.981 12.889
Te 10.188 2.944 5.707
Au 2.521 0.981 10.345
Au 2.753 2.944 3.211
Au 7.796 0.981 11.057
Au 8.028 2.944 3.923
```

* distance to the lowest polymorph of the same formula: 19 meV per atom

(7)
Computed, not measured: a geometry-optimized Sc2Te3Au structure at the GGA-PBE level of DFT.

```
24
Lattice="7.983 0.000 0.000 0.000 4.009 0.000 0.000 0.000 18.698" Properties=species:S:1:pos:R:3 pbc="T T T"
Sc 0.498 1.002 3.726
Sc 1.655 3.007 9.433
Sc 2.336 1.002 0.084
Sc 3.494 3.007 13.075
Sc 4.489 1.002 5.623
Sc 5.647 3.007 18.614
Sc 6.328 1.002 9.265
Sc 7.485 3.007 14.972
Te 0.405 3.007 1.490
Te 1.378 1.002 13.791
Te 1.447 1.002 7.331
Te 2.544 3.007 16.680
Te 2.614 3.007 4.442
Te 3.586 1.002 10.839
Te 4.397 3.007 7.860
Te 5.369 1.002 14.257
Te 5.439 1.002 2.018
Te 6.536 3.007 11.368
Te 6.605 3.007 4.907
Te 7.578 1.002 17.209
Au 0.559 1.002 11.112
Au 3.433 3.007 1.763
Au 4.550 1.002 16.936
Au 7.424 3.007 7.587
```

* distance to the lowest polymorph of the same formula: 0 meV per atom

(8)
Computed, not measured: a geometry-optimized ScTlTe3Au structure at the GGA-PBE level of DFT.

```
12
Lattice="2.027 -7.780 0.000 2.027 7.780 0.000 0.000 0.000 10.963" Properties=species:S:1:pos:R:3 pbc="T T T"
Sc 0.000 0.000 0.000
Sc 0.000 0.000 5.481
Tl 2.027 4.172 8.222
Tl 2.027 -4.172 2.741
Te 2.027 6.513 2.741
Te 2.027 2.096 0.424
Te 2.027 2.096 5.057
Te 2.027 -2.096 5.906
Te 2.027 -2.096 10.538
Te 2.027 -6.513 8.222
Au 2.027 0.621 2.741
Au 2.027 -0.621 8.222
```

(9)
Computed, not measured: a geometry-optimized ScTlTe3Au structure at the GGA-PBE level of DFT.

```
12
Lattice="8.671 0.000 0.000 0.000 4.060 0.000 -3.693 0.000 10.070" Properties=species:S:1:pos:R:3 pbc="T T T"
Sc 1.179 1.015 1.686
Sc 3.800 3.045 8.384
Tl -0.642 3.045 7.207
Tl 5.620 1.015 2.863
Te -2.782 1.015 8.800
Te 0.345 1.015 4.490
Te 3.251 3.045 1.407
Te 1.728 1.015 8.663
Te 4.633 3.045 5.580
Te 7.760 3.045 1.270
Au 2.214 3.045 3.940
Au 2.764 1.015 6.131
```

(10)
Computed, not measured: a geometry-optimized ScTlAu2 structure at the GGA-PBE level of DFT.

```
16
Lattice="6.821 0.000 0.000 0.000 6.821 0.000 0.000 0.000 6.821" Properties=species:S:1:pos:R:3 pbc="T T T"
Sc 0.000 0.000 0.000
Sc 0.000 3.410 3.410
Sc 3.410 0.000 3.410
Sc 3.410 3.410 0.000
Tl 1.705 1.705 1.705
Tl 1.705 5.116 5.116
Tl 5.116 1.705 5.116
Tl 5.116 5.116 1.705
Au 0.000 0.000 3.410
Au 0.000 3.410 0.000
Au 1.705 1.705 5.116
Au 1.705 5.116 1.705
Au 3.410 0.000 0.000
Au 3.410 3.410 3.410
Au 5.116 1.705 1.705
Au 5.116 5.116 5.116
```

(11)
Computed, not measured: a geometry-optimized Sc5Tl4Au structure at the GGA-PBE level of DFT.

```
10
Lattice="3.402 0.000 0.000 0.000 3.402 0.000 0.000 0.000 19.406" Properties=species:S:1:pos:R:3 pbc="T T T"
Sc 0.000 0.000 0.000
Sc 0.000 0.000 4.024
Sc 0.000 0.000 8.032
Sc 0.000 0.000 11.374
Sc 0.000 0.000 15.382
Tl 1.701 1.701 2.012
Tl 1.701 1.701 6.024
Tl 1.701 1.701 13.382
Tl 1.701 1.701 17.394
Au 1.701 1.701 9.703
```

(12)
Computed, not measured: a geometry-optimized TmScAu6 structure at the GGA-PBE level of DFT.

```
8
Lattice="4.927 0.000 0.000 0.000 6.029 0.000 0.000 0.000 5.067" Properties=species:S:1:pos:R:3 pbc="T T T"
Tm 0.000 0.000 0.000
Sc 2.463 3.014 3.478
Au 0.000 1.557 2.555
Au 0.000 3.014 5.054
Au 0.000 4.472 2.555
Au 2.463 0.000 3.415
Au 2.463 1.526 0.900
Au 2.463 4.503 0.900
```

* calculated formation energy: -0.685 eV/atom

(13)
Computed, not measured: a geometry-optimized TmScAu structure at the GGA-PBE level of DFT.

```
12
Lattice="6.586 0.000 0.000 0.000 6.586 0.000 0.000 0.000 6.586" Properties=species:S:1:pos:R:3 pbc="T T T"
Tm 0.000 0.000 0.000
Tm 0.000 3.293 3.293
Tm 3.293 0.000 3.293
Tm 3.293 3.293 0.000
Sc 1.646 1.646 4.939
Sc 1.646 4.939 1.646
Sc 4.939 1.646 1.646
Sc 4.939 4.939 4.939
Au 0.000 0.000 3.293
Au 0.000 3.293 0.000
Au 3.293 0.000 0.000
Au 3.293 3.293 3.293
```

* calculated formation energy: 0.095 eV/atom
* distance to the lowest polymorph of the same formula: 0 meV per atom

(14)
Computed, not measured: a geometry-optimized TmScAu4 structure at the GGA-PBE level of DFT.

```
6
Lattice="3.621 0.000 0.000 0.000 3.621 0.000 0.000 0.000 8.884" Properties=species:S:1:pos:R:3 pbc="T T T"
Tm 0.000 0.000 0.000
Sc 1.810 1.810 4.442
Au 0.000 0.000 3.027
Au 0.000 0.000 5.857
Au 1.810 1.810 1.500
Au 1.810 1.810 7.384
```

* calculated formation energy: -0.847 eV/atom

(15)
Computed, not measured: a geometry-optimized TmScAu structure at the GGA-PBE level of DFT.

```
12
Lattice="6.630 0.000 0.000 0.000 6.630 0.000 0.000 0.000 6.630" Properties=species:S:1:pos:R:3 pbc="T T T"
Tm 0.000 0.000 0.000
Tm 0.000 3.315 3.315
Tm 3.315 0.000 3.315
Tm 3.315 3.315 0.000
Sc 1.658 1.658 1.658
Sc 1.658 4.973 4.973
Sc 4.973 1.658 4.973
Sc 4.973 4.973 1.658
Au 1.658 1.658 4.973
Au 1.658 4.973 1.658
Au 4.973 1.658 1.658
Au 4.973 4.973 4.973
```

* calculated formation energy: 0.166 eV/atom
* distance to the lowest polymorph of the same formula: 71 meV per atom

(16)
Computed, not measured: a geometry-optimized ScUAu structure at the GGA-PBE level of DFT.

```
12
Lattice="6.722 0.000 0.000 0.000 6.722 0.000 0.000 0.000 6.722" Properties=species:S:1:pos:R:3 pbc="T T T"
Sc 0.000 0.000 0.000
Sc 0.000 3.361 3.361
Sc 3.361 0.000 3.361
Sc 3.361 3.361 0.000
U 1.680 1.680 1.680
U 1.680 5.041 5.041
U 5.041 1.680 5.041
U 5.041 5.041 1.680
Au 0.000 0.000 3.361
Au 0.000 3.361 0.000
Au 3.361 0.000 0.000
Au 3.361 3.361 3.361
```

* calculated formation energy: 0.624 eV/atom
* distance to the lowest polymorph of the same formula: 390 meV per atom

(17)
Computed, not measured: a geometry-optimized ScUAu structure at the GGA-PBE level of DFT.

```
12
Lattice="6.775 0.000 0.000 0.000 6.775 0.000 0.000 0.000 6.775" Properties=species:S:1:pos:R:3 pbc="T T T"
Sc 0.000 0.000 0.000
Sc 0.000 3.387 3.387
Sc 3.387 0.000 3.387
Sc 3.387 3.387 0.000
U 0.000 0.000 3.387
U 0.000 3.387 0.000
U 3.387 0.000 0.000
U 3.387 3.387 3.387
Au 1.694 1.694 1.694
Au 1.694 5.081 5.081
Au 5.081 1.694 5.081
Au 5.081 5.081 1.694
```

* calculated formation energy: 0.235 eV/atom
* distance to the lowest polymorph of the same formula: 0 meV per atom

(18)
Computed, not measured: a geometry-optimized YScAu4 structure at the GGA-PBE level of DFT.

```
6
Lattice="3.644 0.000 0.000 0.000 3.644 0.000 0.000 0.000 8.941" Properties=species:S:1:pos:R:3 pbc="T T T"
Y 0.000 0.000 0.000
Sc 1.822 1.822 4.471
Au 0.000 0.000 3.059
Au 0.000 0.000 5.882
Au 1.822 1.822 1.547
Au 1.822 1.822 7.394
```

* calculated formation energy: -0.827 eV/atom

(19)
Computed, not measured: a geometry-optimized Sc2ZnAu2 structure at the GGA-PBE level of DFT.

```
10
Lattice="4.677 0.000 0.000 0.000 4.677 0.000 0.000 0.000 10.555" Properties=species:S:1:pos:R:3 pbc="T T T"
Sc 0.000 2.339 2.639
Sc 0.000 2.339 7.916
Sc 2.339 0.000 2.639
Sc 2.339 0.000 7.916
Zn 0.000 0.000 0.000
Zn 2.339 2.339 5.277
Au 0.000 0.000 3.983
Au 0.000 0.000 6.572
Au 2.339 2.339 1.295
Au 2.339 2.339 9.260
```

* calculated formation energy: -0.288 eV/atom

(20)
Computed, not measured: a geometry-optimized ScZn2Au structure at the GGA-PBE level of DFT.

```
16
Lattice="6.472 0.000 0.000 0.000 6.472 0.000 0.000 0.000 6.472" Properties=species:S:1:pos:R:3 pbc="T T T"
Sc 0.000 0.000 0.000
Sc 0.000 3.236 3.236
Sc 3.236 0.000 3.236
Sc 3.236 3.236 0.000
Zn 0.000 0.000 3.236
Zn 0.000 3.236 0.000
Zn 1.618 1.618 4.854
Zn 1.618 4.854 1.618
Zn 3.236 0.000 0.000
Zn 3.236 3.236 3.236
Zn 4.854 1.618 1.618
Zn 4.854 4.854 4.854
Au 1.618 1.618 1.618
Au 1.618 4.854 4.854
Au 4.854 1.618 4.854
Au 4.854 4.854 1.618
```

* calculated formation energy: -0.472 eV/atom

Table of E_tot (eV per atom), in record order: -7.94, -5.88, -7.08, -6.81, -7.62, -5.05, -5.06, -4.17, -4.17, -4.16, -4.81, -4.49, -4.59, -4.83, -4.52, -6.34, -6.73, -5.14, -4.38, -3.50